Record 1
# PBE-GGA SbI3Br2Cl6, optimized geometry
# * E_form (uncorrected): -36.1 kJ/mol of atoms
# * calculated volume: 42.39 Å³/atom
data_SbI3Br2Cl6
_chemical_formula_sum 'Sb1 I3 Br2 Cl6'
_symmetry_space_group_name_H-M 'P -1'
_symmetry_Int_Tables_number 2
_cell_length_a 7.5470
_cell_length_b 8.3370
_cell_length_c 8.3569
_cell_angle_alpha 96.70
_cell_angle_beta 90.08
_cell_angle_gamma 102.99
loop_
_symmetry_equiv_pos_as_xyz
'x,y,z'
'-x,-y,-z'
loop_
_atom_site_label
_atom_site_fract_x
_atom_site_fract_y
_atom_site_fract_z
_atom_site_occupancy
Sb1 0.0000 0.0000 0.0000 1
I1 0.0000 0.5000 0.5000 1
I2 0.3170 0.7438 0.6483 1
Br1 0.4882 0.2487 0.5990 1
Cl1 0.0836 0.0130 0.2771 1
Cl2 0.1180 0.7441 0.9442 1
Cl3 0.2941 0.1680 0.9540 1



Record 2
# PBE-GGA SeIBr2Cl, optimized geometry
# * E_form (uncorrected): 64.2 kJ/mol of atoms
# * calculated volume: 29.99 Å³/atom
# * ΔE to the lowest computed polymorph: 0.129 eV per atom
data_SeIBr2Cl
_chemical_formula_sum 'Se1 I1 Br2 Cl1'
_symmetry_space_group_name_H-M 'P 4/m m m'
_symmetry_Int_Tables_number 123
_symmetry_space_group_name_Hall '-P 4 2'
_cell_length_a 5.2087
_cell_length_b 5.2087
_cell_length_c 5.5279
_cell_angle_alpha 90.00
_cell_angle_beta 90.00
_cell_angle_gamma 90.00
loop_
_atom_site_label
_atom_site_fract_x
_atom_site_fract_y
_atom_site_fract_z
_atom_site_occupancy
Se1 0.0000 0.0000 0.0000 1
I1 0.5000 0.5000 0.0000 1
Br1 0.0000 0.5000 0.5000 1
Cl1 0.0000 0.0000 0.5000 1



Record 3
# PBE-GGA Se2IBrCl, optimized geometry
# * E_form (uncorrected): 71.1 kJ/mol of atoms
# * calculated volume: 33.69 Å³/atom
# * ΔE to the lowest computed polymorph: 0.000 eV per atom
data_Se2IBrCl
_chemical_formula_sum 'Se2 I1 Br1 Cl1'
_symmetry_space_group_name_H-M 'P 4/m m m'
_symmetry_Int_Tables_number 123
_symmetry_space_group_name_Hall '-P 4 2'
_cell_length_a 5.4785
_cell_length_b 5.4785
_cell_length_c 5.6127
_cell_angle_alpha 90.00
_cell_angle_beta 90.00
_cell_angle_gamma 90.00
loop_
_atom_site_label
_atom_site_fract_x
_atom_site_fract_y
_atom_site_fract_z
_atom_site_occupancy
Se1 0.0000 0.5000 0.0000 1
I1 0.0000 0.0000 0.0000 1
Br1 0.0000 0.0000 0.5000 1
Cl1 0.5000 0.5000 0.5000 1



Record 4
# PBE-GGA SeIBr2Cl, optimized geometry
# * E_form (uncorrected): 51.8 kJ/mol of atoms
# * calculated volume: 35.09 Å³/atom
# * ΔE to the lowest computed polymorph: 0.000 eV per atom
data_SeIBr2Cl
_chemical_formula_sum 'Se1 I1 Br2 Cl1'
_symmetry_space_group_name_H-M 'P 4/m m m'
_symmetry_Int_Tables_number 123
_symmetry_space_group_name_Hall '-P 4 2'
_cell_length_a 5.6390
_cell_length_b 5.6390
_cell_length_c 5.5174
_cell_angle_alpha 90.00
_cell_angle_beta 90.00
_cell_angle_gamma 90.00
loop_
_atom_site_label
_atom_site_fract_x
_atom_site_fract_y
_atom_site_fract_z
_atom_site_occupancy
Se1 0.0000 0.0000 0.0000 1
I1 0.0000 0.0000 0.5000 1
Br1 0.0000 0.5000 0.5000 1
Cl1 0.5000 0.5000 0.0000 1



Q: Which formula does entry 2 have?
A: SeIBr2Cl